(1)
Material: NaSrI2
Method: DFT, PBE
State: relaxed

## Properties
Its density of states at the Fermi level is 6.60 states/eV per cell. As for the energy above the most stable polymorph in this dataset: 162.1 meV per atom. Its space group is No. 122. As for the formation energy without anion corrections: -1.008 eV per atom. The value obtained for the total energy is -2.53 eV per atom.

```
data_NaSrI2
_chemical_formula_sum 'Na2 Sr2 I4'
_space_group_name_H-M_alt 'P 1'
_space_group_IT_number 1
_space_group_name_Hall 'P 1'
_cell_length_a 7.565
_cell_length_b 7.565
_cell_length_c 9.015
_cell_angle_alpha 65.19
_cell_angle_beta 65.19
_cell_angle_gamma 90.00
loop_
_atom_site_label
_atom_site_fract_x
_atom_site_fract_y
_atom_site_fract_z
I1 0.142 0.625 0.250
I2 0.875 0.858 0.750
I3 0.608 0.125 0.250
I4 0.375 0.392 0.750
Sr1 0.750 0.250 0.500
Sr2 0.000 0.000 0.000
Na1 0.250 0.750 0.500
Na2 0.500 0.500 0.000
```

---

(2)
Material: NaSrI2
Method: DFT, PBE
State: relaxed

## Properties
Its density of states at the Fermi level is 2.64 states/eV per cell. As for the energy above the most stable polymorph in this dataset: 125.7 meV per atom. Its space group is No. 225. As for the formation energy without anion corrections: -1.045 eV per atom. The value obtained for the total energy is -2.57 eV per atom.

```
data_NaSrI2
_chemical_formula_sum 'Na1 Sr1 I2'
_space_group_name_H-M_alt 'P 1'
_space_group_IT_number 1
_space_group_name_Hall 'P 1'
_cell_length_a 5.857
_cell_length_b 5.857
_cell_length_c 5.857
_cell_angle_alpha 60.00
_cell_angle_beta 60.00
_cell_angle_gamma 60.00
loop_
_atom_site_label
_atom_site_fract_x
_atom_site_fract_y
_atom_site_fract_z
I1 0.250 0.250 0.250
I2 0.750 0.750 0.750
Na1 0.000 0.000 0.000
Sr1 0.500 0.500 0.500
```